[1]
## Ag2SbTe (PBE)

Data for crystalline Ag2SbTe at its relaxed geometry.

Results
E above lowest polymorph, meV/atom: 41
Raw formation energy, eV per atom: 0.071
Symmetry: R3m (160)
VASP energy, eV per cell: -12.68
Magnetization, μB per cell: 0.0

a b c (Å): 4.459 4.459 6.536
angles (deg): 70.05 70.05 60.00
Sites, in units of the cell vectors:
Sb  0.498  0.498  0.506
Ag  0.088  0.088  0.736
Te  0.668  0.668  0.997
Ag  0.246  0.246  0.261


[2]
## Ag2SbTe (PBE)

Data for crystalline Ag2SbTe at its relaxed geometry.

Results
E above lowest polymorph, meV/atom: 90
Raw formation energy, eV per atom: 0.120
Symmetry: C2/m (12)
VASP energy, eV per cell: -12.49
Magnetization, μB per cell: 0.0

a b c (Å): 4.983 4.983 4.951
angles (deg): 70.89 70.89 102.55
Sites, in units of the cell vectors:
Sb  0.500  0.000  0.500
Ag  0.000  0.000  0.000
Te  0.000  0.500  0.500
Ag  0.500  0.500  0.000


[3]
## Ag3SbTe (PBE)

Data for crystalline Ag3SbTe at its relaxed geometry.

Results
E above lowest polymorph, meV/atom: 407
Raw formation energy, eV per atom: 0.492
Symmetry: Pm-3m (221)
VASP energy, eV per cell: -13.36
Magnetization, μB per cell: 0.0

a b c (Å): 5.261 5.261 5.261
angles (deg): 90.00 90.00 90.00
Sites, in units of the cell vectors:
Ag  0.000  0.500  0.000
Te  0.500  0.500  0.500
Sb  0.000  0.000  0.000
Ag  0.500  0.000  0.000
Ag  0.000  0.000  0.500


[4]
## AgSb2Te3 (PBE)

Data for crystalline AgSb2Te3 at its relaxed geometry.

Results
E above lowest polymorph, meV/atom: 0
Raw formation energy, eV per atom: -0.049
Symmetry: Immm (71)
VASP energy, eV per cell: -20.82
Magnetization, μB per cell: 0.0

a b c (Å): 4.351 6.275 7.585
angles (deg): 114.43 106.67 90.00
Sites, in units of the cell vectors:
Te  0.164  0.664  0.828
Te  0.836  0.336  0.172
Sb  0.171  0.171  0.842
Te  0.500  0.000  0.500
Ag  0.500  0.500  0.500
Sb  0.829  0.829  0.158


[5]
## Ag2SbTe (PBE)

Data for crystalline Ag2SbTe at its relaxed geometry.

Results
E above lowest polymorph, meV/atom: 199
Raw formation energy, eV per atom: 0.230
Symmetry: I-42d (122)
VASP energy, eV per cell: -24.10
Magnetization, μB per cell: 0.0

a b c (Å): 6.911 6.911 7.004
angles (deg): 60.44 60.44 90.00
Sites, in units of the cell vectors:
Te  0.750  0.250  0.500
Ag  0.875  0.874  0.750
Sb  0.250  0.750  0.500
Ag  0.624  0.125  0.250
Sb  0.500  0.500  0.000
Ag  0.126  0.625  0.250
Ag  0.375  0.376  0.750
Te  0.000  0.000  0.000


[6]
## Ag2SbTe2 (PBE)

Data for crystalline Ag2SbTe2 at its relaxed geometry.

Results
E above lowest polymorph, meV/atom: 0
Raw formation energy, eV per atom: 0.001
Symmetry: P-1 (2)
VASP energy, eV per cell: -32.20
Magnetization, μB per cell: 0.0

a b c (Å): 4.664 7.335 9.790
angles (deg): 107.22 89.60 109.15
Sites, in units of the cell vectors:
Ag  0.957  0.919  0.646
Ag  0.321  0.642  0.505
Sb  0.684  0.372  0.034
Te  0.537  0.064  0.194
Ag  0.679  0.358  0.495
Te  0.165  0.333  0.657
Sb  0.316  0.628  0.966
Te  0.463  0.936  0.806
Ag  0.043  0.081  0.354
Te  0.835  0.667  0.343


[7]
## Ag2SbTe (PBE)

Data for crystalline Ag2SbTe at its relaxed geometry.

Results
E above lowest polymorph, meV/atom: 21
Raw formation energy, eV per atom: 0.051
Symmetry: Cm (8)
VASP energy, eV per cell: -12.76
Magnetization, μB per cell: 0.0

a b c (Å): 4.865 4.865 7.284
angles (deg): 93.25 93.25 37.29
Sites, in units of the cell vectors:
Sb  0.561  0.561  0.414
Te  0.689  0.689  0.824
Ag  0.276  0.276  0.239
Ag  0.974  0.974  0.023


[8]
## AgSbTe (PBE)

Data for crystalline AgSbTe at its relaxed geometry.

Results
E above lowest polymorph, meV/atom: 184
Raw formation energy, eV per atom: 0.167
Symmetry: F-43m (216)
VASP energy, eV per cell: -9.61
Magnetization, μB per cell: 0.0

a b c (Å): 4.922 4.922 4.922
angles (deg): 60.00 60.00 60.00
Sites, in units of the cell vectors:
Sb  0.000  0.000  0.000
Te  0.500  0.500  0.500
Ag  0.250  0.250  0.250


[9]
## Ag3SbTe (PBE)

Data for crystalline Ag3SbTe at its relaxed geometry.

Results
E above lowest polymorph, meV/atom: 0
Raw formation energy, eV per atom: 0.086
Symmetry: C2/c (15)
VASP energy, eV per cell: -61.55
Magnetization, μB per cell: 0.0

a b c (Å): 8.050 8.050 9.725
angles (deg): 68.95 68.95 60.18
Sites, in units of the cell vectors:
Ag  0.907  0.694  0.918
Te  0.691  0.309  0.250
Ag  0.629  0.773  0.753
Te  0.309  0.691  0.750
Ag  0.191  0.995  0.914
Sb  0.635  0.153  0.619
Ag  0.694  0.907  0.418
Ag  0.306  0.093  0.582
Ag  0.093  0.306  0.082
Sb  0.153  0.635  0.119
Ag  0.773  0.629  0.253
Ag  0.005  0.809  0.586
Ag  0.995  0.191  0.414
Te  0.000  0.500  0.500
Ag  0.371  0.227  0.247
Ag  0.809  0.005  0.086
Te  0.500  0.000  0.000
Sb  0.365  0.847  0.381
Ag  0.227  0.371  0.747
Sb  0.847  0.365  0.881


[10]
## AgSbTe4 (PBE)

Data for crystalline AgSbTe4 at its relaxed geometry.

Results
E above lowest polymorph, meV/atom: 559
Raw formation energy, eV per atom: 0.561
Symmetry: F-43m (216)
VASP energy, eV per cell: -16.17
Magnetization, μB per cell: 0.0

a b c (Å): 6.330 6.330 6.330
angles (deg): 60.00 60.00 60.00
Sites, in units of the cell vectors:
Te  0.375  0.375  0.876
Te  0.375  0.876  0.375
Te  0.876  0.375  0.375
Te  0.375  0.375  0.375
Ag  0.750  0.750  0.750
Sb  0.000  0.000  0.000


[11]
## AgSbTe (PBE)

Data for crystalline AgSbTe at its relaxed geometry.

Results
E above lowest polymorph, meV/atom: 211
Raw formation energy, eV per atom: 0.195
Symmetry: Fmm2 (42)
VASP energy, eV per cell: -9.53
Magnetization, μB per cell: 0.0

a b c (Å): 8.560 8.428 3.158
angles (deg): 81.65 76.94 21.41
Sites, in units of the cell vectors:
Sb  0.360  0.360  0.640
Te  0.643  0.643  0.357
Ag  0.997  0.997  0.003


[12]
## AgSbTe (PBE)

Data for crystalline AgSbTe at its relaxed geometry.

Results
E above lowest polymorph, meV/atom: 191
Raw formation energy, eV per atom: 0.174
Symmetry: Imm2 (44)
VASP energy, eV per cell: -9.59
Magnetization, μB per cell: 0.0

a b c (Å): 6.269 6.269 6.269
angles (deg): 149.94 137.94 52.56
Sites, in units of the cell vectors:
Sb  0.381  0.381  0.000
Ag  0.972  0.972  0.000
Te  0.646  0.646  0.000


- Among the records above, which one has the lowest raw formation energy?
  AgSb2Te3


- What is the VASP energy in the third record?
  -13.36 eV per cell


- Among the records above, which one has the highest raw formation energy?
  AgSbTe4